Entry 1:
{
  "formula": "Pr2Zn2Cd15",
  "functional": "PBE",
  "state": "relaxed",
  "total_magnetization_mub_per_atom": 0.000,
  "e_form_mev_per_atom": -134,
  "mass_density_g_cm3": 8.06,
  "sg": "No. 166",
  "lattice": [[5.0197, 2.8981, 4.9553], [-5.0197, 2.8981, 4.9553], [0.0000, -5.7962, 4.9553]],
  "species": ["Pr", "Pr", "Zn", "Zn", "Cd", "Cd", "Cd", "Cd", "Cd", "Cd", "Cd", "Cd", "Cd", "Cd", "Cd", "Cd", "Cd", "Cd", "Cd"],
  "frac_coords": [[0.1750, 0.1750, 0.1750], [0.8250, 0.8250, 0.8250], [0.4046, 0.4046, 0.4046], [0.5954, 0.5954, 0.5954], [0.0000, 0.5000, 0.5000], [0.1415, 0.1415, 0.6598], [0.1415, 0.6598, 0.1415], [0.2034, 0.5000, 0.7966], [0.2034, 0.7966, 0.5000], [0.3402, 0.8585, 0.8585], [0.5000, 0.0000, 0.5000], [0.5000, 0.2034, 0.7966], [0.5000, 0.5000, 0.0000], [0.5000, 0.7966, 0.2034], [0.6598, 0.1415, 0.1415], [0.7966, 0.2034, 0.5000], [0.7966, 0.5000, 0.2034], [0.8585, 0.3402, 0.8585], [0.8585, 0.8585, 0.3402]]
}

***

Entry 2:
{
  "formula": "Pr3Zn4Cd4",
  "functional": "PBE",
  "state": "relaxed",
  "total_magnetization_mub_per_atom": 0.000,
  "e_form_mev_per_atom": -273,
  "mass_density_g_cm3": 7.29,
  "sg": "No. 71",
  "lattice": [[-2.2492, 3.7990, 7.5623], [2.2492, -3.7990, 7.5623], [2.2492, 3.7990, -7.5623]],
  "species": ["Pr", "Pr", "Pr", "Zn", "Zn", "Zn", "Zn", "Cd", "Cd", "Cd", "Cd"],
  "frac_coords": [[0.0000, 0.0000, 0.0000], [0.3748, 0.8748, 0.5000], [0.6252, 0.1252, 0.5000], [0.2215, 0.2215, 0.0000], [0.3250, 0.5000, 0.8250], [0.6750, 0.5000, 0.1750], [0.7785, 0.7785, 0.0000], [0.0251, 0.3315, 0.6937], [0.3622, 0.6685, 0.6937], [0.6378, 0.3315, 0.3063], [0.9749, 0.6685, 0.3063]]
}

***

Entry 3:
{
  "formula": "PrZn2Cd10",
  "functional": "PBE",
  "state": "relaxed",
  "total_magnetization_mub_per_atom": 0.000,
  "e_form_mev_per_atom": -125,
  "mass_density_g_cm3": 8.19,
  "sg": "No. 69",
  "lattice": [[0.0000, 6.9532, 6.9579], [2.9250, 0.0000, 6.9579], [2.9250, 6.9532, 0.0000]],
  "species": ["Pr", "Zn", "Zn", "Cd", "Cd", "Cd", "Cd", "Cd", "Cd", "Cd", "Cd", "Cd", "Cd"],
  "frac_coords": [[0.0000, 0.0000, 0.0000], [0.0000, 0.0000, 0.5000], [0.5000, 0.5000, 0.0000], [0.0000, 0.5000, 0.0000], [0.0079, 0.6513, 0.3487], [0.2838, 0.5065, 0.4935], [0.3487, 0.9921, 0.0079], [0.4935, 0.7162, 0.2838], [0.5000, 0.0000, 0.5000], [0.5065, 0.2838, 0.7162], [0.6513, 0.0079, 0.9921], [0.7162, 0.4935, 0.5065], [0.9921, 0.3487, 0.6513]]
}

***

Entry 4:
{
  "formula": "Pr2Zn4Cd",
  "functional": "PBE",
  "state": "relaxed",
  "total_magnetization_mub_per_atom": 0.000,
  "e_form_mev_per_atom": -125,
  "mass_density_g_cm3": 6.46,
  "sg": "No. 166",
  "lattice": [[2.4390, 1.4081, 8.1839], [-2.4390, 1.4081, 8.1839], [0.0000, -2.8163, 8.1839]],
  "species": ["Pr", "Pr", "Zn", "Zn", "Zn", "Zn", "Cd"],
  "frac_coords": [[0.2504, 0.2504, 0.2504], [0.7496, 0.7496, 0.7496], [0.1273, 0.1273, 0.1273], [0.3750, 0.3750, 0.3750], [0.6250, 0.6250, 0.6250], [0.8727, 0.8727, 0.8727], [0.0000, 0.0000, 0.0000]]
}

***

Entry 5:
{
  "formula": "Pr3ZnCd3",
  "functional": "PBE",
  "state": "relaxed",
  "total_magnetization_mub_per_atom": 0.000,
  "e_form_mev_per_atom": -287,
  "mass_density_g_cm3": 7.22,
  "sg": "No. 44",
  "lattice": [[-1.7995, 2.4900, 10.5964], [1.7995, -2.4900, 10.5964], [1.7995, 2.4900, -10.5964]],
  "species": ["Pr", "Pr", "Pr", "Zn", "Cd", "Cd", "Cd"],
  "frac_coords": [[0.0000, 0.0000, 0.0000], [0.3894, 0.3894, 0.0000], [0.7013, 0.2013, 0.5000], [0.2635, 0.7635, 0.5000], [0.1337, 0.6337, 0.5000], [0.5570, 0.5570, 0.0000], [0.8356, 0.8356, 0.0000]]
}

***

Entry 6:
{
  "formula": "Pr3ZnCd",
  "functional": "PBE",
  "state": "relaxed",
  "total_magnetization_mub_per_atom": 0.000,
  "e_form_mev_per_atom": -228,
  "mass_density_g_cm3": 6.78,
  "sg": "No. 63",
  "lattice": [[2.7047, -10.0564, 0.0000], [2.7047, 10.0564, 0.0000], [0.0000, 0.0000, 5.4046]],
  "species": ["Pr", "Pr", "Pr", "Pr", "Pr", "Pr", "Zn", "Zn", "Cd", "Cd"],
  "frac_coords": [[0.0651, 0.9349, 0.7500], [0.2500, 0.7500, 0.7500], [0.4349, 0.5651, 0.7500], [0.5651, 0.4349, 0.2500], [0.7500, 0.2500, 0.2500], [0.9349, 0.0651, 0.2500], [0.1545, 0.8455, 0.2500], [0.8455, 0.1545, 0.7500], [0.3440, 0.6560, 0.2500], [0.6560, 0.3440, 0.7500]]
}